Version i
DyHf | the Open Quantum Materials Database | PBE | relaxed; total magnetic moment = 0.116 μB/cell; SG = F-43m (216)
1.0
0.000 3.248 3.248
3.248 0.000 3.248
3.248 3.248 0.000
Dy Hf
1 1
Cartesian
0.000 0.000 0.000
4.872 4.872 4.872



Version ii
DyHf | the Open Quantum Materials Database | PBE | relaxed; total magnetic moment = 0.022 μB/cell; SG = P-6m2 (187)
1.0
3.361 0.000 0.000
-1.680 2.911 0.000
0.000 0.000 5.334
Dy Hf
1 1
Cartesian
0.000 0.000 0.000
1.680 0.970 2.667



Version iii
DyHf | the Open Quantum Materials Database | PBE | relaxed; total magnetic moment = 0.001 μB/cell; SG = Fm-3m (225)
1.0
0.000 3.045 3.045
3.045 0.000 3.045
3.045 3.045 0.000
Dy Hf
1 1
Cartesian
0.000 0.000 0.000
3.045 3.045 3.045



Q: What are the energies relative to the best structure? A: version i 222.3; version ii 0.0; version iii 95.3, in kJ/mol of atoms.



Version i
DyHf2 | the Open Quantum Materials Database | PBE | relaxed; total magnetic moment = 0.005 μB/cell; SG = I4/mmm (139)
1.0
-1.596 1.596 7.354
1.596 -1.596 7.354
1.596 1.596 -7.354
Dy Hf
1 2
Cartesian
0.000 0.000 0.000
0.000 0.000 4.714
0.000 0.000 9.995



Version ii
DyHf2 | the Open Quantum Materials Database | PBE | relaxed; total magnetic moment = 0.073 μB/cell; SG = P4_2/mnm (136)
1.0
5.627 0.000 0.000
0.000 5.627 0.000
0.000 0.000 5.499
Dy Hf
2 4
Cartesian
0.000 0.000 0.000
2.814 2.814 2.750
0.929 0.929 2.750
1.885 3.743 0.000
3.743 1.885 0.000
4.698 4.698 2.750



Version iii
DyHf2 | the Open Quantum Materials Database | PBE | relaxed; total magnetic moment = 4.972 μB/cell; SG = Fd-3m (227)
1.0
0.000 4.278 4.278
4.278 0.000 4.278
4.278 4.278 0.000
Dy Hf
2 4
Cartesian
1.070 1.070 1.070
7.487 7.487 7.487
4.278 2.139 2.139
2.139 4.278 2.139
2.139 2.139 4.278
4.278 4.278 4.278



Q: What are the energies relative to the best structure? A: version i 0.0; version ii 120.8; version iii 19.5, in kJ/mol of atoms.